No. 1
A geometry-optimized MgCdIr3 structure. Source: Alexandria via LeMat-Bulk, functional PBEsol.

Unit cell a=4.7909 b=4.7909 c=4.7909 alpha=90.00 beta=90.00 gamma=90.00
Closest atoms and distances in Å follow each position.
Space group Pm-3m (No. 221)
Asymmetric unit:
1 Mg 0.0000 0.0000 0.0000 [1 per cell]  12 Ir 3.39
2 Cd 0.5000 0.5000 0.5000 [1 per cell]  6 Ir 2.40
3 Ir 0.0000 0.5000 0.5000 [3 per cell]  2 Cd 2.40

Properties
E_form (eV per atom): 2.080
Electronic total energy (eV/atom): -4.40
M_tot (Bohr magnetons per cell): 0.01


No. 2
A geometry-optimized MgCd2Ir structure. Source: Alexandria via LeMat-Bulk, functional PBEsol.

Unit cell a=4.0726 b=4.0726 c=4.1506 alpha=90.00 beta=90.00 gamma=90.00
Closest atoms and distances in Å follow each position.
Space group P4/mmm (No. 123)
Asymmetric unit:
1 Mg 0.0000 0.0000 0.0000 [1 per cell]  4 Ir 2.88, 8 Cd 2.91
2 Cd 0.0000 0.5000 0.5000 [2 per cell]  4 Cd 2.88, 4 Mg 2.91, 4 Ir 2.91
3 Ir 0.5000 0.5000 0.0000 [1 per cell]  4 Mg 2.88, 8 Cd 2.91

Properties
E_form (eV per atom): -0.071
Electronic total energy (eV/atom): -3.56
M_tot (Bohr magnetons per cell): 0.00


No. 3
A geometry-optimized MnCd2Ir structure. Source: Alexandria via LeMat-Bulk, functional PBEsol.

Unit cell a=2.9009 b=2.9009 c=7.8011 alpha=90.00 beta=90.00 gamma=90.00
Closest atoms and distances in Å follow each position.
Space group P4/mmm (No. 123)
Asymmetric unit:
1 Mn 0.0000 0.0000 0.0000 [1 per cell]  8 Cd 2.85, 4 Mn 2.90
2 Cd 0.5000 0.5000 0.2542 [2 per cell]  4 Ir 2.81, 4 Mn 2.85, 4 Cd 2.90
3 Ir 0.0000 0.0000 0.5000 [1 per cell]  8 Cd 2.81, 4 Ir 2.90

Properties
E_form (eV per atom): 0.332
Electronic total energy (eV/atom): -5.16
M_tot (Bohr magnetons per cell): 3.66